Compound: K2GePtRh
Source: the Alexandria database
Functional: meta-GGA SCAN
Structure: PBEsol geometry

## Properties
Crystal system ... tetragonal
Energy of formation ... 640 meV per atom
Final energy ... -27.302 eV/atom

Cell and atoms, written as POSCAR:
```
K2GePtRh
1.0
6.0353 0.0000 0.0000
0.0000 6.0353 0.0000
0.0000 0.0000 4.5254
K Ge Pt Rh
2 1 1 1
direct
0.0000 0.5000 0.0000 K
0.5000 0.0000 0.0000 K
0.0000 0.0000 0.0000 Ge
0.0000 0.0000 0.5000 Pt
0.5000 0.5000 0.5000 Rh
```

---

Compound: BaCuW
Source: the Alexandria database
Functional: meta-GGA SCAN
Structure: PBEsol geometry

## Properties
Crystal system ... hexagonal
Energy of formation ... 1534 meV per atom
Final energy ... -39.945 eV/atom

Cell and atoms, written as POSCAR:
```
BaCuW
1.0
4.9004 0.0000 0.0000
-2.4502 4.2438 0.0000
0.0000 0.0000 2.9796
Ba Cu W
1 1 1
direct
0.0000 0.0000 0.0000 Ba
0.3333 0.6667 0.5000 Cu
0.6667 0.3333 0.5000 W
```

---

Compound: Ni2H2Au
Source: the Alexandria database
Functional: meta-GGA SCAN
Structure: PBEsol geometry

## Properties
Crystal system ... tetragonal
Final energy ... -21.686 eV/atom

Cell and atoms, written as POSCAR:
```
Ni2H2Au
1.0
-1.4142 1.4142 5.3884
1.4142 -1.4142 5.3884
1.4142 1.4142 -5.3884
Ni H Au
2 2 1
direct
0.1661 0.1661 0.0000 Ni
0.8339 0.8339 0.0000 Ni
0.2500 0.7500 0.5000 H
0.7500 0.2500 0.5000 H
0.5000 0.5000 0.0000 Au
```

---

Compound: GeBO2
Source: the Alexandria database
Functional: meta-GGA SCAN
Structure: PBEsol geometry

## Properties
Crystal system ... trigonal
Final energy ... -10.967 eV/atom
Formation energy without anion corrections ... -4.9 eV per formula unit

Cell and atoms, written as POSCAR:
```
GeBO2
1.0
1.4980 0.8649 6.3963
-1.4980 0.8649 6.3963
0.0000 -1.7297 6.3963
Ge B O
1 1 2
direct
0.0000 0.0000 0.0000 Ge
0.5000 0.5000 0.5000 B
0.4340 0.4340 0.4340 O
0.5660 0.5660 0.5660 O
```

---

We obtain size of the total moment values of 2.05; 0.00; 0.00; 0.00 μB per formula unit for the records listed above, in that order.